(i)
A relaxed structure of TcNiAu, computed with PBE.

CIF file:
```
data_TcNiAu
_chemical_formula_sum 'Tc2 Ni2 Au2'
_space_group_name_H-M_alt 'P 1'
_space_group_IT_number 1
_cell_length_a 2.787
_cell_length_b 4.623
_cell_length_c 7.128
_cell_angle_alpha 71.29
_cell_angle_beta 89.91
_cell_angle_gamma 89.81
loop_
_space_group_symop_operation_xyz
'x,y,z'
loop_
_atom_site_label
_atom_site_fract_x
_atom_site_fract_y
_atom_site_fract_z
Tc1 0.000 0.000 0.000
Tc2 0.444 0.496 0.000
Ni1 0.482 0.686 0.297
Ni2 0.482 0.980 0.703
Au1 0.970 0.158 0.353
Au2 0.970 0.509 0.646
```


(ii)
A relaxed structure of TcNiAu, computed with PBE.

CIF file:
```
data_TcNiAu
_chemical_formula_sum 'Tc4 Ni4 Au4'
_space_group_name_H-M_alt 'C 1 2/m 1'
_space_group_IT_number 12
_cell_length_a 14.023
_cell_length_b 2.784
_cell_length_c 4.446
_cell_angle_alpha 90.00
_cell_angle_beta 95.33
_cell_angle_gamma 90.00
loop_
_space_group_symop_operation_xyz
'x,y,z'
'-x,-y,-z'
'-x,y,-z'
'x,-y,z'
'x+1/2,y+1/2,z'
'-x+1/2,-y+1/2,-z'
'-x+1/2,y+1/2,-z'
'x+1/2,-y+1/2,z'
loop_
_atom_site_label
_atom_site_fract_x
_atom_site_fract_y
_atom_site_fract_z
Tc1 0.221 0.000 0.243
Ni1 0.069 0.500 0.203
Au1 0.095 0.000 0.710
```


(iii)
A relaxed structure of TcNiAu, computed with PBE.

CIF file:
```
data_TcNiAu
_chemical_formula_sum 'Tc2 Ni2 Au2'
_space_group_name_H-M_alt 'P 4/n m m'
_space_group_IT_number 129
_cell_length_a 2.737
_cell_length_b 2.737
_cell_length_c 11.642
_cell_angle_alpha 90.00
_cell_angle_beta 90.00
_cell_angle_gamma 90.00
loop_
_space_group_symop_operation_xyz
'x,y,z'
'-x,-y,-z'
'-y+1/2,x,z'
'y+1/2,-x,-z'
'-x+1/2,-y+1/2,z'
'x+1/2,y+1/2,-z'
'y,-x+1/2,z'
'-y,x+1/2,-z'
'x+1/2,-y,-z'
'-x+1/2,y,z'
'-y,-x,-z'
'y,x,z'
'-x,y+1/2,-z'
'x,-y+1/2,z'
'y+1/2,x+1/2,-z'
'-y+1/2,-x+1/2,z'
loop_
_atom_site_label
_atom_site_fract_x
_atom_site_fract_y
_atom_site_fract_z
Tc1 0.250 0.250 0.085
Ni1 0.250 0.250 0.769
Au1 0.250 0.250 0.399
```


Verdict on stability: (iii) comes out on top.


(i)
A relaxed structure of TcNiAu, computed with PBE.

CIF file:
```
data_TcNiAu
_chemical_formula_sum 'Tc1 Ni1 Au1'
_space_group_name_H-M_alt 'P 3 m 1'
_space_group_IT_number 156
_cell_length_a 2.7569
_cell_length_b 2.7569
_cell_length_c 6.6755
_cell_angle_alpha 90.00
_cell_angle_beta 90.00
_cell_angle_gamma 120.00
loop_
_space_group_symop_operation_xyz
'x,y,z'
'-y,x-y,z'
'-x+y,-x,z'
'-y,-x,z'
'-x+y,y,z'
'x,x-y,z'
loop_
_atom_site_label
_atom_site_fract_x
_atom_site_fract_y
_atom_site_fract_z
Tc1 0.0000 0.0000 0.0000
Ni1 0.6667 0.3333 0.7059
Au1 0.3333 0.6667 0.3679
```


(ii)
A relaxed structure of TcNiAu, computed with PBE.

CIF file:
```
data_TcNiAu
_chemical_formula_sum 'Tc2 Ni2 Au2'
_space_group_name_H-M_alt 'P 1 21/m 1'
_space_group_IT_number 11
_cell_length_a 2.779
_cell_length_b 3.721
_cell_length_c 8.543
_cell_angle_alpha 90.00
_cell_angle_beta 90.49
_cell_angle_gamma 90.00
loop_
_space_group_symop_operation_xyz
'x,y,z'
'-x,-y,-z'
'-x,y+1/2,-z'
'x,-y+1/2,z'
loop_
_atom_site_label
_atom_site_fract_x
_atom_site_fract_y
_atom_site_fract_z
Tc1 0.200 0.250 0.072
Ni1 0.258 0.250 0.771
Au1 0.252 0.250 0.398
```


(iii)
A relaxed structure of TcNiAu, computed with PBE.

CIF file:
```
data_TcNiAu
_chemical_formula_sum 'Tc4 Ni4 Au4'
_space_group_name_H-M_alt 'A m m 2'
_space_group_IT_number 38
_cell_length_a 4.086
_cell_length_b 2.727
_cell_length_c 15.860
_cell_angle_alpha 90.00
_cell_angle_beta 90.00
_cell_angle_gamma 90.00
loop_
_space_group_symop_operation_xyz
'x,y,z'
'-x,-y,z'
'-x,y,z'
'x,-y,z'
'x,y+1/2,z+1/2'
'-x,-y+1/2,z+1/2'
'-x,y+1/2,z+1/2'
'x,-y+1/2,z+1/2'
loop_
_atom_site_label
_atom_site_fract_x
_atom_site_fract_y
_atom_site_fract_z
Tc1 0.000 0.000 0.000
Tc2 0.500 0.000 0.437
Ni1 0.000 0.000 0.350
Ni2 0.500 0.000 0.591
Au1 0.000 0.000 0.173
Au2 0.500 0.000 0.777
```


Verdict on stability: (ii) comes out on top.


(i)
A relaxed structure of TcNiAu, computed with PBE.

CIF file:
```
data_TcNiAu
_chemical_formula_sum 'Tc4 Ni4 Au4'
_space_group_name_H-M_alt 'C 1 2/m 1'
_space_group_IT_number 12
_cell_length_a 8.653
_cell_length_b 3.715
_cell_length_c 5.710
_cell_angle_alpha 90.00
_cell_angle_beta 107.92
_cell_angle_gamma 90.00
loop_
_space_group_symop_operation_xyz
'x,y,z'
'-x,-y,-z'
'-x,y,-z'
'x,-y,z'
'x+1/2,y+1/2,z'
'-x+1/2,-y+1/2,-z'
'-x+1/2,y+1/2,-z'
'x+1/2,-y+1/2,z'
loop_
_atom_site_label
_atom_site_fract_x
_atom_site_fract_y
_atom_site_fract_z
Tc1 0.168 0.000 0.067
Ni1 0.003 0.500 0.780
Au1 0.163 0.000 0.582
```


(ii)
A relaxed structure of TcNiAu, computed with PBE.

CIF file:
```
data_TcNiAu
_chemical_formula_sum 'Tc2 Ni2 Au2'
_space_group_name_H-M_alt 'P 1 21 1'
_space_group_IT_number 4
_cell_length_a 2.807
_cell_length_b 4.579
_cell_length_c 6.901
_cell_angle_alpha 90.00
_cell_angle_beta 101.19
_cell_angle_gamma 90.00
loop_
_space_group_symop_operation_xyz
'x,y,z'
'-x,y+1/2,-z'
loop_
_atom_site_label
_atom_site_fract_x
_atom_site_fract_y
_atom_site_fract_z
Tc1 0.212 0.000 0.499
Ni1 0.414 0.654 0.798
Au1 0.075 0.657 0.146
```


Verdict on stability: (ii) comes out on top.